No. 1
Compound: AcY2Zr
Source: Alexandria
Functional: PBE
Structure: relaxed

Unit cell a=4.0415 b=4.0415 c=8.0466 alpha=90.00 beta=90.00 gamma=90.00
Last column: nearest neighbours and their distance in Å.
Space group P4/mmm (No. 123)
Unique sites:
Ac1 0.0000 0.0000 0.0000 x1  8 Y 3.71, 2 Zr 4.02, 4 Ac 4.04
Y1 0.5000 0.5000 0.2942 x2  4 Zr 3.30, 1 Y 3.31
Zr1 0.0000 0.0000 0.5000 x1  8 Y 3.30

Output
- Volume: 32.9 A^3/atom
- Formation energy from the elements: 0.186 eV per atom
- Magnetization: 0.2810 μB/atom

---

No. 2
Compound: AcY2Zr
Source: Alexandria
Functional: PBE
Structure: relaxed

Unit cell a=3.5883 b=3.5883 c=34.5999 alpha=90.00 beta=90.00 gamma=120.00
Last column: nearest neighbours and their distance in Å.
Space group R-3m (No. 166, hexagonal axes)
Unique sites:
Ac1 0.0000 0.0000 0.0000 x3  6 Ac 3.59, 6 Y 3.78
Y1 0.0000 0.0000 0.2421 x6  3 Zr 3.33, 6 Y 3.59
Zr1 0.0000 0.0000 0.5000 x3  6 Y 3.33, 6 Zr 3.59

Output
- Volume: 32.2 A^3/atom
- Formation energy from the elements: 0.157 eV per atom
- Magnetization: 0.0000 μB/atom

---

No. 3
Compound: AcY2Zr
Source: Alexandria
Functional: PBE
Structure: relaxed

Unit cell a=3.5894 b=3.5894 c=34.7113 alpha=90.00 beta=90.00 gamma=120.00
Last column: nearest neighbours and their distance in Å.
Space group R3m (No. 160, hexagonal axes)
Unique sites:
Ac1 0.0000 0.0000 0.0000 x3  6 Ac 3.59, 6 Y 3.79-3.82
Y1 0.0000 0.0000 0.2419 x3  3 Zr 3.31, 6 Y 3.59
Y2 0.0000 0.0000 0.4258 x3  3 Zr 3.33, 6 Y 3.59
Zr1 0.0000 0.0000 0.8341 x3  6 Y 3.31-3.33, 6 Zr 3.59

Output
- Volume: 32.3 A^3/atom
- Formation energy from the elements: 0.160 eV per atom
- Magnetization: 0.0000 μB/atom

---

No. 4
Compound: AcY2Zr
Source: Alexandria
Functional: PBE
Structure: relaxed

Unit cell a=4.9863 b=4.9863 c=5.0972 alpha=90.00 beta=90.00 gamma=90.00
Last column: nearest neighbours and their distance in Å.
Space group P4/mmm (No. 123)
Unique sites:
Ac1 0.0000 0.0000 0.0000 x1  4 Zr 3.53, 8 Y 3.57
Y1 0.0000 0.5000 0.5000 x2  4 Y 3.53, 4 Zr 3.57, 4 Ac 3.57
Zr1 0.5000 0.5000 0.0000 x1  4 Ac 3.53, 8 Y 3.57

Output
- Volume: 31.7 A^3/atom
- Formation energy from the elements: 0.165 eV per atom
- Magnetization: 0.0000 μB/atom

---

No. 5
Compound: AcYb6
Source: Alexandria
Functional: PBE
Structure: relaxed

Unit cell a=8.7420 b=8.7420 c=8.7420 alpha=90.00 beta=90.00 gamma=90.00
Last column: nearest neighbours and their distance in Å.
Space group Im-3m (No. 229)
Unique sites:
Ac1 0.0000 0.0000 0.0000 x2  24 Yb 4.89
Yb1 0.0000 0.2500 0.5000 x12  4 Yb 3.09

Output
- Volume: 47.7 A^3/atom
- Formation energy from the elements: 0.948 eV per atom
- Magnetization: 0.0000 μB/atom

---

No. 6
Compound: AcYbZn2
Source: Alexandria
Functional: PBE
Structure: relaxed

Unit cell a=7.5644 b=7.5644 c=7.5644 alpha=90.00 beta=90.00 gamma=90.00
Last column: nearest neighbours and their distance in Å.
Space group Fm-3m (No. 225)
Unique sites:
Ac1 0.0000 0.0000 0.0000 x4  8 Zn 3.28
Yb1 0.0000 0.0000 0.5000 x4  8 Zn 3.28
Zn1 0.2500 0.2500 0.2500 x8  4 Ac 3.28, 4 Yb 3.28

Output
- Volume: 27.1 A^3/atom
- Formation energy from the elements: -0.300 eV per atom
- Magnetization: 0.0000 μB/atom

---

No. 7
Compound: AcZn7
Source: Alexandria
Functional: PBE
Structure: relaxed

Unit cell a=4.2402 b=7.1645 c=9.9379 alpha=90.00 beta=90.00 gamma=90.00
Last column: nearest neighbours and their distance in Å.
Space group Immm (No. 71)
Unique sites:
Ac1 0.0000 0.0000 0.0000 x2  14 Zn 3.28-3.58
Zn1 0.0000 0.1817 0.3587 x8  5 Zn 2.53-2.81
Zn2 0.0000 0.5000 0.0000 x2  2 Zn 2.47
Zn3 0.0000 0.5000 0.2485 x4  7 Zn 2.47-2.71

Output
- Volume: 18.9 A^3/atom
- Formation energy from the elements: -0.211 eV per atom
- Magnetization: 0.0000 μB/atom

---

No. 8
Compound: AcZn12
Source: Alexandria
Functional: PBE
Structure: relaxed

Unit cell a=9.0659 b=9.0659 c=5.3639 alpha=90.00 beta=90.00 gamma=90.00
Last column: nearest neighbours and their distance in Å.
Space group I4/mmm (No. 139)
Unique sites:
Ac1 0.0000 0.0000 0.0000 x2  20 Zn 3.24-3.47
Zn1 0.0000 0.2283 0.5000 x8  10 Zn 2.64-2.93
Zn2 0.0000 0.3576 0.0000 x8  7 Zn 2.58-2.81
Zn3 0.2500 0.2500 0.2500 x8  10 Zn 2.64-2.81

Output
- Volume: 17.0 A^3/atom
- Formation energy from the elements: -0.159 eV per atom
- Magnetization: 0.0000 μB/atom